BaAl2Te4: single point on PBEsol structure, SCAN.

Cell lengths 6.860, 6.860, 6.860 Å; angles 103.58, 103.58, 122.04 degrees
Sites, in units of the cell vectors:
Ba  0.000  0.000  0.000
Al  0.000  0.500  0.500
Al  0.500  0.000  0.500
Te  0.079  0.579  0.158
Te  0.421  0.921  0.842
Te  0.579  0.421  0.500
Te  0.921  0.079  0.500

Calculated values
Size of the total moment, μB/cell: 0.0
Energy relative to the elements, uncorrected, meV/atom: -993.1
Calculated volume, Å³/cell: 239.4

CaMgCu2: single point on PBEsol structure, SCAN.

Cell lengths 3.315, 3.315, 6.554 Å; angles 90.00, 90.00, 90.00 degrees
Sites, in units of the cell vectors:
Ca  0.000  0.000  0.000
Mg  0.000  0.000  0.500
Cu  0.500  0.500  0.299
Cu  0.500  0.500  0.701

Calculated values
Size of the total moment, μB/cell: 0.0
Energy of formation, eV per atom: -0.0569
Calculated volume, Å³/cell: 72.0

CrIrCl: single point on PBEsol structure, SCAN.

Cell lengths 2.770, 2.770, 6.521 Å; angles 90.00, 90.00, 120.00 degrees
Sites, in units of the cell vectors:
Cr  0.000  0.000  0.000
Ir  0.333  0.667  0.701
Cl  0.667  0.333  0.251

Calculated values
Size of the total moment, μB/cell: 0.0
Energy relative to the elements, uncorrected, meV/atom: 94.8
Calculated volume, Å³/cell: 43.3

B2MoIr2: single point on PBEsol structure, SCAN.

Cell lengths 4.982, 4.982, 4.982 Å; angles 136.49, 136.49, 63.22 degrees
Sites, in units of the cell vectors:
B  0.106  0.106  0.000
B  0.894  0.894  0.000
Mo  0.500  0.500  0.000
Ir  0.250  0.750  0.500
Ir  0.750  0.250  0.500

Calculated values
Size of the total moment, μB/cell: 1.3
Energy of formation, eV per atom: -0.1078
Calculated volume, Å³/cell: 57.8